# 1
! Ce2Fe2Si2C, PBEsol geometry, DFT SCAN; values from VASP
! **Energy relative to the elements, uncorrected**: -528 meV/atom
! **Space group**: C2/m
&SYSTEM
  ibrav = 0, nat = 7, ntyp = 4
/
ATOMIC_SPECIES
Ce 140.12 Ce.upf
Fe 55.84 Fe.upf
Si 28.09 Si.upf
C 12.01 C.upf
CELL_PARAMETERS angstrom
5.198 -1.958 0.000
5.198 1.958 0.000
-4.545 0.000 5.297
ATOMIC_POSITIONS angstrom
Ce -0.822 0.000 1.766
Ce 6.674 0.000 3.531
Fe 2.304 0.000 0.987
Fe 3.547 0.000 4.310
Si -0.542 0.000 4.739
Si 6.394 0.000 0.558
C 2.926 0.000 2.649


# 2
! SrCa3Ge, PBEsol geometry, DFT SCAN; values from VASP
! **Space group**: Pm-3m
! **Formation energy**: -25.0 kJ/mol of atoms
&SYSTEM
  ibrav = 0, nat = 5, ntyp = 3
/
ATOMIC_SPECIES
Sr 87.62 Sr.upf
Ca 40.08 Ca.upf
Ge 72.64 Ge.upf
CELL_PARAMETERS angstrom
5.799 0.000 0.000
0.000 5.799 0.000
0.000 0.000 5.799
ATOMIC_POSITIONS angstrom
Sr 0.000 0.000 0.000
Ca 0.000 2.900 2.900
Ca 2.900 0.000 2.900
Ca 2.900 2.900 0.000
Ge 2.900 2.900 2.900


# 3
! LiCr2Os, PBEsol geometry, DFT SCAN; values from VASP
! **Space group**: Pm
! **Formation energy**: 22.3 kJ/mol of atoms
&SYSTEM
  ibrav = 0, nat = 4, ntyp = 3
/
ATOMIC_SPECIES
Li 6.94 Li.upf
Cr 52.00 Cr.upf
Os 190.23 Os.upf
CELL_PARAMETERS angstrom
2.496 0.000 0.000
0.000 4.017 0.000
-0.747 0.000 4.775
ATOMIC_POSITIONS angstrom
Li 0.000 0.000 0.000
Cr 0.031 2.009 3.608
Cr 0.782 0.000 2.423
Os 1.571 2.009 1.190


# 4
! Cu2NF, PBEsol geometry, DFT SCAN; values from VASP
! **Energy relative to the elements, uncorrected**: 268 meV/atom
! **Space group**: Fm-3m
&SYSTEM
  ibrav = 0, nat = 4, ntyp = 3
/
ATOMIC_SPECIES
Cu 63.55 Cu.upf
N 14.01 N.upf
F 19.00 F.upf
CELL_PARAMETERS angstrom
0.000 2.628 2.628
2.628 0.000 2.628
2.628 2.628 0.000
ATOMIC_POSITIONS angstrom
Cu 1.314 1.314 1.314
Cu 3.942 3.942 3.942
N 0.000 0.000 0.000
F 2.628 2.628 2.628


# 5
! CdSnAs2, PBEsol geometry, DFT SCAN; values from VASP
! **Energy relative to the lowest polymorph listed for this composition**: 0 meV/atom
! **Space group**: I-42d
! **Formation energy**: -13.9 kJ/mol of atoms
&SYSTEM
  ibrav = 0, nat = 8, ntyp = 3
/
ATOMIC_SPECIES
Cd 112.41 Cd.upf
Sn 118.71 Sn.upf
As 74.92 As.upf
CELL_PARAMETERS angstrom
-3.051 3.051 5.996
3.051 -3.051 5.996
3.051 3.051 -5.996
ATOMIC_POSITIONS angstrom
Cd 0.000 0.000 0.000
Cd 0.000 3.051 2.998
Sn 3.051 0.000 2.998
Sn 0.000 0.000 5.996
As 1.526 -1.517 4.497
As 1.534 1.526 1.499
As 1.526 4.569 -1.499
As 1.517 1.526 7.495


# 6
! BeHg2WN, PBEsol geometry, DFT SCAN; values from VASP
! **Energy relative to the elements, uncorrected**: 726 meV/atom
! **Space group**: P4/mmm
&SYSTEM
  ibrav = 0, nat = 5, ntyp = 4
/
ATOMIC_SPECIES
Be 9.01 Be.upf
Hg 200.59 Hg.upf
W 183.84 W.upf
N 14.01 N.upf
CELL_PARAMETERS angstrom
5.151 0.000 0.000
0.000 5.151 0.000
0.000 0.000 2.938
ATOMIC_POSITIONS angstrom
Be 0.000 0.000 0.000
Hg 0.000 2.575 1.469
Hg 2.575 0.000 1.469
W 2.575 2.575 0.000
N 0.000 0.000 1.469


# 7
! Ru3Rh, PBEsol geometry, DFT SCAN; values from VASP
! **Space group**: P-6m2
! **Formation energy**: 0.0 kJ/mol of atoms
&SYSTEM
  ibrav = 0, nat = 4, ntyp = 2
/
ATOMIC_SPECIES
Ru 101.07 Ru.upf
Rh 102.91 Rh.upf
CELL_PARAMETERS angstrom
2.689 0.000 0.000
-1.344 2.328 0.000
0.000 0.000 8.511
ATOMIC_POSITIONS angstrom
Ru 0.000 0.000 0.000
Ru 1.344 0.776 2.091
Ru 1.344 0.776 6.420
Rh 0.000 0.000 4.256


# 8
! Ag2Se, PBEsol geometry, DFT SCAN; values from VASP
! **Energy relative to the elements, uncorrected**: 44 meV/atom
! **Space group**: P4/mmm
&SYSTEM
  ibrav = 0, nat = 3, ntyp = 2
/
ATOMIC_SPECIES
Ag 107.87 Ag.upf
Se 78.96 Se.upf
CELL_PARAMETERS angstrom
4.068 0.000 0.000
0.000 4.068 0.000
0.000 0.000 3.722
ATOMIC_POSITIONS angstrom
Ag 0.000 2.034 0.000
Ag 2.034 0.000 0.000
Se 0.000 0.000 1.861


DOS at the Fermi energy: 8.64 2.03 2.90 0.73 0.36 2.99 3.43 0.90 (states/eV per cell)